1.
LaYMg2Mo after structural relaxation. Source: the Alexandria database, functional PBE.

Cell lengths 5.358, 5.050, 5.358 Å; angles 90.00, 90.00, 90.00 degrees
Atoms (fractional coordinates):
Mo 0.000 0.000 0.000
Mg 0.500 0.000 0.000
Mg 0.000 0.000 0.500
Y 0.500 0.500 0.500
La 0.000 0.500 0.000

Computed properties:
calculated formation energy	2.57	eV per formula unit
space-group type	P4/mmm, No. 123

2.
AlSb2P after structural relaxation. Source: the Alexandria database, functional PBE.

Cell lengths 3.383, 3.383, 8.386 Å; angles 90.00, 90.00, 110.78 degrees
Atoms (fractional coordinates):
Sb 0.500 0.500 0.280
Sb 0.000 0.000 0.969
Al 0.000 0.000 0.543
P 0.500 0.500 0.708

Computed properties:
uncorrected formation energy	0.256	eV per atom
space-group type	Cmm2, No. 35

3.
TbDyHoAg after structural relaxation. Source: the Alexandria database, functional PBE.

Cell lengths 3.557, 3.557, 8.862 Å; angles 90.00, 90.00, 90.00 degrees
Atoms (fractional coordinates):
Ag 0.000 0.000 0.569
Tb 0.000 0.000 0.072
Ho 0.500 0.500 0.357
Dy 0.500 0.500 0.786

Computed properties:
calculated formation energy	-0.53	eV per formula unit
space-group type	P4mm, No. 99

4.
Zr2MnS5 after structural relaxation. Source: the Alexandria database, functional PBE.

Cell lengths 6.320, 8.335, 12.621 Å; angles 104.57, 90.00, 90.00 degrees
Last column: magnetic moment on the atom in μB.
Atoms (fractional coordinates):
Zr 0.489 0.161 0.884  0.11
Zr 0.511 0.839 0.116  0.11
Zr 0.395 0.357 0.193  0.10
Zr 0.105 0.357 0.693  0.10
Zr 0.605 0.643 0.807  0.10
Zr 0.895 0.643 0.307  0.10
Zr 0.989 0.839 0.616  0.11
Zr 0.011 0.161 0.384  0.11
Mn 0.500 0.500 0.500  4.04
Mn 0.000 0.000 0.000  4.07
Mn 0.500 0.000 0.500  4.07
Mn 0.000 0.500 0.000  4.04
S 0.209 0.642 0.165  0.02
S 0.829 0.746 0.982  0.01
S 0.825 0.544 0.632  0.02
S 0.325 0.456 0.868  0.02
S 0.340 0.869 0.930  0.02
S 0.235 0.066 0.212  0.02
S 0.660 0.131 0.070  0.02
S 0.791 0.358 0.835  0.02
S 0.840 0.131 0.570  0.02
S 0.291 0.642 0.665  0.02
S 0.265 0.066 0.712  0.02
S 0.171 0.254 0.018  0.01
S 0.160 0.869 0.430  0.02
S 0.175 0.456 0.368  0.02
S 0.329 0.254 0.518  0.01
S 0.709 0.358 0.335  0.02
S 0.671 0.746 0.482  0.01
S 0.735 0.934 0.288  0.02
S 0.675 0.544 0.132  0.02
S 0.765 0.934 0.788  0.02

Computed properties:
uncorrected formation energy	-1.187	eV per atom
space-group type	P2_1/c, No. 14